[1]
First-principles (PBE-GGA) data for a relaxed NaSr2Nd3Se6 crystal, as listed in Alexandria via LeMat-Bulk. Values from VASP.

The structure in Quantum ESPRESSO input format:
```
&SYSTEM
  ibrav = 0, nat = 12, ntyp = 4
/
ATOMIC_SPECIES
Na 22.99 Na.upf
Sr 87.62 Sr.upf
Nd 144.24 Nd.upf
Se 78.96 Se.upf
CELL_PARAMETERS angstrom
-5.286 -0.137 -5.162
4.423 -5.848 0.916
-4.315 -0.738 6.201
ATOMIC_POSITIONS crystal
Na 0.000 0.000 0.000
Sr 0.333 0.667 0.000
Sr 0.667 0.333 0.000
Nd 0.167 0.833 0.500
Nd 0.833 0.167 0.500
Nd 0.500 0.500 0.500
Se 0.914 0.583 0.741
Se 0.756 0.756 0.259
Se 0.086 0.417 0.259
Se 0.583 0.914 0.741
Se 0.244 0.244 0.741
Se 0.417 0.086 0.259
```

***

[2]
First-principles (PBE-GGA) data for a relaxed GeOF2 crystal, as listed in Alexandria via LeMat-Bulk. Values from VASP.

E above lowest polymorph	0	meV per atom

The structure in Quantum ESPRESSO input format:
```
&SYSTEM
  ibrav = 0, nat = 16, ntyp = 3
/
ATOMIC_SPECIES
Ge 72.64 Ge.upf
O 16.00 O.upf
F 19.00 F.upf
CELL_PARAMETERS angstrom
4.927 -0.002 0.001
-0.001 4.989 0.001
-0.001 0.006 12.734
ATOMIC_POSITIONS crystal
Ge 0.001 0.250 0.325
Ge 0.999 0.750 0.675
Ge 0.501 0.250 0.175
Ge 0.499 0.750 0.825
O 0.749 0.586 0.750
O 0.251 0.414 0.250
O 0.249 0.913 0.750
O 0.751 0.087 0.250
F 0.344 0.011 0.098
F 0.656 0.989 0.902
F 0.844 0.489 0.401
F 0.156 0.511 0.599
F 0.343 0.511 0.902
F 0.657 0.489 0.098
F 0.843 0.989 0.598
F 0.157 0.011 0.402
```

***

Summary of formation energy from raw total energies in eV per atom
-1.851; -2.062
(order as listed above)
Summary of density of states at the Fermi level in states/eV/f.u.
3.29; 0.00
(order as listed above)